Entry 1:
The following is a PBE calculation of a geometry-optimized LiLu2Ta structure, from the Open Quantum Materials Database.

Unit cell a=4.9950 b=4.9950 c=4.9950 alpha=60.00 beta=60.00 gamma=60.00
Each line ends with the local moment (μB).
Atoms (fractional coordinates):
1 Lu 0.0000 0.0000 0.0000  0.26
2 Lu 0.7500 0.7500 0.7500  0.04
3 Li 0.5000 0.5000 0.5000  0.00
4 Ta 0.2500 0.2500 0.2500  0.65

Output
Size of the total moment: 1.3 μB/cell
Energy: -5.15 eV per atom

Entry 2:
The following is a PBE calculation of a geometry-optimized PmGdB4 structure, from the Open Quantum Materials Database.

Unit cell a=3.3193 b=3.3193 c=8.0011 alpha=90.00 beta=90.00 gamma=120.00
Atoms (fractional coordinates):
1 Pm 0.0000 0.0000 0.5000
2 B 0.3333 0.6667 0.2441
3 B 0.6667 0.3333 0.7559
4 B 0.3333 0.6667 0.7559
5 B 0.6667 0.3333 0.2441
6 Gd 0.0000 0.0000 0.0000

Output
Size of the total moment: 0.0 μB/cell
Energy: -6.44 eV per atom
Relative energy among the computed polymorphs: 0.000 eV/f.u.

Entry 3:
The following is a PBE calculation of a geometry-optimized SrTbO3 structure, from the Open Quantum Materials Database.

Unit cell a=6.0112 b=6.0112 c=6.3102 alpha=61.56 beta=61.56 gamma=60.00
Each line ends with the local moment (μB).
Atoms (fractional coordinates):
1 Sr 0.6347 0.6347 0.0958  0.00
2 O 0.5440 0.2148 0.2655  0.28
3 Tb 0.8527 0.8527 0.4419  0.01
4 O 0.0242 0.4560 0.7345  0.28
5 O 0.9758 0.5440 0.2655  0.28
6 O 0.4560 0.7852 0.7345  0.28
7 O 0.7852 0.0242 0.7345  0.28
8 O 0.2148 0.9758 0.2655  0.28
9 Tb 0.1473 0.1473 0.5581  0.01
10 Sr 0.3653 0.3653 0.9042  0.00

Output
Size of the total moment: 2.0 μB/cell
Energy: -6.94 eV per atom

Entry 4:
The following is a PBE calculation of a geometry-optimized ZnPbSO structure, from the Open Quantum Materials Database.

Unit cell a=3.8252 b=3.8252 c=12.2655 alpha=90.00 beta=90.00 gamma=120.00
Atoms (fractional coordinates):
1 S 0.3333 0.6667 0.5724
2 Pb 0.6667 0.3334 0.7667
3 Zn 0.0000 0.0000 0.5042
4 O 0.0000 0.0000 0.3443
5 S 0.6667 0.3333 0.0724
6 Zn 0.0000 0.0000 0.0042
7 Pb 0.3333 0.6666 0.2667
8 O 0.0000 0.0000 0.8443

Output
Energy: -4.47 eV per atom
Relative energy among the computed polymorphs: 0.000 eV/f.u.